Entry from Alexandria: a relaxed structure of K2YMnO4 (GGA+U).

As for the final energy: -6.50 eV per atom. The symmetry is Pmn2_1 (31). The calculated density is 3.1 g/cm³.

Unit cell a=6.044 b=7.064 c=7.191 alpha=90.00 beta=90.00 gamma=90.00
Element x y z (fractional)
K1 0.484 0.347 0.265
K2 0.484 0.347 0.735
K3 0.984 0.653 0.765
K4 0.984 0.653 0.235
Y1 0.993 0.106 0.500
Y2 0.493 0.894 0.000
Mn1 0.502 0.832 0.500
Mn2 0.002 0.168 0.000
O1 0.320 0.161 0.000
O2 0.820 0.839 0.500
O3 0.342 0.067 0.500
O4 0.842 0.933 0.000
O5 0.437 0.731 0.746
O6 0.937 0.269 0.246
O7 0.937 0.269 0.754
O8 0.437 0.731 0.254